No. 1
# YCd3Ga, optimized geometry, DFT GGA-PBE
# DFT formation energy: 0.754 eV per atom
# M_tot: 0.000 μB/atom
# density of states at the Fermi level: 9.879 states/eV/f.u.
data_YCd3Ga
_chemical_formula_sum 'Y1 Cd3 Ga1'
_space_group_name_H-M_alt 'P m -3 m'
_space_group_IT_number 221
_space_group_name_Hall '-P 4 2 3'
_cell_length_a 5.9083
_cell_length_b 5.9083
_cell_length_c 5.9083
_cell_angle_alpha 90.00
_cell_angle_beta 90.00
_cell_angle_gamma 90.00
loop_
_atom_site_label
_atom_site_type_symbol
_atom_site_fract_x
_atom_site_fract_y
_atom_site_fract_z
Y1 Y 0.0000 0.0000 0.0000
Cd1 Cd 0.0000 0.0000 0.5000
Ga1 Ga 0.5000 0.5000 0.5000

***

No. 2
# YCdGa, optimized geometry, DFT GGA-PBE
# DFT formation energy: -0.449 eV per atom
# M_tot: 0.000 μB/atom
# density of states at the Fermi level: 0.907 states/eV/f.u.
data_YCdGa
_chemical_formula_sum 'Y4 Cd4 Ga4'
_space_group_name_H-M_alt 'C m c m'
_space_group_IT_number 63
_space_group_name_Hall '-C 2c 2'
_cell_length_a 5.0473
_cell_length_b 8.7309
_cell_length_c 6.1220
_cell_angle_alpha 90.00
_cell_angle_beta 90.00
_cell_angle_gamma 90.00
loop_
_atom_site_label
_atom_site_type_symbol
_atom_site_fract_x
_atom_site_fract_y
_atom_site_fract_z
Y1 Y 0.0000 0.1664 0.2500
Cd1 Cd 0.0000 0.5000 0.0000
Ga1 Ga 0.0000 0.1670 0.7500

***

No. 3
# YCdGa, optimized geometry, DFT GGA-PBE
# DFT formation energy: -0.463 eV per atom
# M_tot: 0.000 μB/atom
# density of states at the Fermi level: 0.986 states/eV/f.u.
data_YCdGa
_chemical_formula_sum 'Y4 Cd4 Ga4'
_space_group_name_H-M_alt 'I m m m'
_space_group_IT_number 71
_space_group_name_Hall '-I 2 2'
_cell_length_a 4.1894
_cell_length_b 5.9973
_cell_length_c 10.9712
_cell_angle_alpha 90.00
_cell_angle_beta 90.00
_cell_angle_gamma 90.00
loop_
_atom_site_label
_atom_site_type_symbol
_atom_site_fract_x
_atom_site_fract_y
_atom_site_fract_z
Y1 Y 0.0000 0.0000 0.1908
Cd1 Cd 0.0000 0.2536 0.5000
Ga1 Ga 0.0000 0.5000 0.1220

***

No. 4
# Y5Cd2Ga2, optimized geometry, DFT GGA-PBE
# DFT formation energy: -0.433 eV per atom
# M_tot: 0.000 μB/atom
# density of states at the Fermi level: 4.955 states/eV/f.u.
data_Y5Cd2Ga2
_chemical_formula_sum 'Y20 Cd8 Ga8'
_space_group_name_H-M_alt 'C m c e'
_space_group_IT_number 64
_space_group_name_Hall '-C 2ac 2'
_cell_length_a 16.4425
_cell_length_b 7.6603
_cell_length_c 7.6193
_cell_angle_alpha 90.00
_cell_angle_beta 90.00
_cell_angle_gamma 90.00
loop_
_atom_site_label
_atom_site_type_symbol
_atom_site_fract_x
_atom_site_fract_y
_atom_site_fract_z
Y1 Y 0.0000 0.0000 0.0000
Y2 Y 0.1292 0.1850 0.3216
Cd1 Cd 0.2201 0.0000 0.0000
Ga1 Ga 0.0000 0.1189 0.6197

***

Number 3 is which compound? YCdGa

***

DFT formation energy of number 2 (YCdGa)? -0.449 eV per atom

***

Among the records above, which one has the lowest density of states at the Fermi level? number 2

***

What is the M_tot in the third record? 0.000 μB/atom